## CaNi2Rh (PBE-GGA)

Data for an optimized crystal structure of CaNi2Rh.

Summary:
- Calculated volume: 61 Å³ per cell
- ΔE_f: 0.11 eV per atom
- VASP energy: -20.47 eV/cell

a = 4.6458 Å, b = 4.6458 Å, c = 4.6458 Å
α = 128.05°, β = 127.77°, γ = 76.77°
Last column: magnetic moment on the atom in μB.
Sites, in units of the cell vectors:
1 Ni 0.0005 0.0005 0.0000  0.39
2 Ni 0.4995 0.4995 0.0000  0.39
3 Ca 0.7500 0.2500 0.5000  -0.02
4 Rh 0.2500 0.7500 0.5000  0.31

## CaNi2Rh (PBE-GGA)

Data for an optimized crystal structure of CaNi2Rh.

Summary:
- Calculated volume: 61 Å³ per cell
- ΔE_f: 0.11 eV per atom
- VASP energy: -20.49 eV/cell

a = 5.3446 Å, b = 5.3446 Å, c = 5.3446 Å
α = 148.61°, β = 129.75°, γ = 60.45°
Last column: magnetic moment on the atom in μB.
Sites, in units of the cell vectors:
1 Ni 0.0296 0.0296 0.0000  0.20
2 Ni 0.2424 0.7424 0.5000  0.08
3 Ca 0.7545 0.2545 0.5000  -0.01
4 Rh 0.4735 0.4735 0.0000  0.12

## CaNi2Rh (PBE-GGA)

Data for an optimized crystal structure of CaNi2Rh.

Summary:
- Calculated volume: 61 Å³ per cell
- ΔE_f: 0.48 eV per atom
- VASP energy: -19.00 eV/cell

a = 8.8696 Å, b = 8.8696 Å, c = 8.8696 Å
α = 18.47°, β = 18.47°, γ = 18.47°
Last column: magnetic moment on the atom in μB.
Sites, in units of the cell vectors:
1 Ni 0.0061 0.0061 0.0061  0.42
2 Ni 0.4939 0.4939 0.4939  0.42
3 Ca 0.2500 0.2500 0.2500  -0.06
4 Rh 0.7500 0.7500 0.7500  0.80

## CaNi2Rh (PBE-GGA)

Data for an optimized crystal structure of CaNi2Rh.

Summary:
- Calculated volume: 61 Å³ per cell
- ΔE_f: 0.18 eV per atom
- VASP energy: -20.20 eV/cell

a = 4.4140 Å, b = 4.4140 Å, c = 4.4140 Å
α = 60.00°, β = 60.00°, γ = 60.00°
Last column: magnetic moment on the atom in μB.
Sites, in units of the cell vectors:
1 Ni 0.0000 0.0000 0.0000  0.54
2 Ni 0.7500 0.7500 0.7500  0.25
3 Ca 0.5000 0.5000 0.5000  -0.02
4 Rh 0.2500 0.2500 0.2500  0.35

> The highest ΔE_f belongs to which entry?

number 3